Density functional theory data (PBE) for a geometry-optimized LiSm2Rh2 structure.

```
LiSm2Rh2
1.0
-3.559 -0.330 -2.084
0.624 -2.840 -4.722
-2.018 -5.163 0.158
Li Sm Rh
1 2 2
Cartesian
-1.468 -1.585 -3.403 Li
-2.348 -4.309 -1.468 Sm
-2.605 -4.025 -5.180 Sm
-1.004 -5.965 -3.501 Rh
-3.950 -2.368 -3.147 Rh
```

Output
The energy above the most stable polymorph in this dataset is 0.0 kJ per mole of atoms. As for the formation energy: -0.601 eV/atom. The total moment is 0.00 μB per formula unit. Its total energy is -29.1 eV for the cell shown. For the density of states at the Fermi level, the calculation gives 3.21 states/eV per cell. The space group is No. 71.